A plane-wave DFT calculation with PBE was carried out for an optimized crystal structure of Li2MnRe.

Calculated values
The value obtained for the energy above the lowest structure with this stoichiometry is 144 meV/atom. The calculation puts the formation energy at 0.374 eV/atom. For the calculated total energy, the calculation gives -0.2200 Ha/atom. Its symmetry is I4/mmm, No. 139. The calculation puts the volume at 51.8 Å³/f.u.

Cell lengths 5.120, 5.120, 5.120 Å; angles 141.43, 141.43, 55.68 degrees
Fractional coordinates of all 4 atoms:
1 Li 0.000 0.000 0.000
2 Li 0.500 0.500 0.000
3 Mn 0.250 0.750 0.500
4 Re 0.750 0.250 0.500

---

A plane-wave DFT calculation with PBE was carried out for an optimized crystal structure of LiMnReRu.

Calculated values
The calculation puts the formation energy at 0.127 eV/atom. For the calculated total energy, the calculation gives -0.2967 Ha/atom. Its symmetry is F-43m, No. 216. The calculation puts the volume at 51.5 Å³/f.u.

Cell lengths 4.177, 4.177, 4.177 Å; angles 60.00, 60.00, 60.00 degrees
Last column: magnetic moment on the atom in μB.
Fractional coordinates of all 4 atoms:
1 Re 0.000 0.000 0.000  -0.28
2 Mn 0.250 0.250 0.250  1.04
3 Li 0.500 0.500 0.500  0.00
4 Ru 0.750 0.750 0.750  0.05

---

A plane-wave DFT calculation with PBE was carried out for an optimized crystal structure of SrLiMn2Re.

Calculated values
The calculation puts the formation energy at 1.222 eV/atom. For the calculated total energy, the calculation gives -0.2078 Ha/atom. Its symmetry is P4/mmm, No. 123. The calculation puts the volume at 97.2 Å³/f.u.

Cell lengths 4.604, 4.588, 4.604 Å; angles 90.00, 90.00, 90.00 degrees
Last column: magnetic moment on the atom in μB.
Fractional coordinates of all 5 atoms:
1 Re 0.000 0.500 0.000  -0.38
2 Mn 0.000 0.000 0.500  3.98
3 Mn 0.500 0.000 0.000  3.77
4 Li 0.000 0.000 0.000  0.01
5 Sr 0.500 0.500 0.500  0.01

---

A plane-wave DFT calculation with PBE was carried out for an optimized crystal structure of LiMn2Rh.

Calculated values
The calculation puts the formation energy at -0.056 eV/atom. For the calculated total energy, the calculation gives -0.2557 Ha/atom. Its symmetry is I-4m2, No. 119. The calculation puts the volume at 53.2 Å³/f.u.

Cell lengths 4.547, 4.547, 4.547 Å; angles 130.37, 130.47, 72.74 degrees
Last column: magnetic moment on the atom in μB.
Fractional coordinates of all 4 atoms:
1 Li 0.250 0.750 0.500  0.01
2 Mn 0.000 0.000 0.000  -3.42
3 Mn 0.750 0.250 0.500  3.36
4 Rh 0.500 0.500 0.000  0.05

---

A plane-wave DFT calculation with PBE was carried out for an optimized crystal structure of LiMnRh2.

Calculated values
The calculation puts the formation energy at -0.118 eV/atom. For the calculated total energy, the calculation gives -0.2412 Ha/atom. Its symmetry is Cm, No. 8. The calculation puts the volume at 54.1 Å³/f.u.

Cell lengths 4.976, 4.976, 4.482 Å; angles 66.73, 66.73, 32.36 degrees
Last column: magnetic moment on the atom in μB.
Fractional coordinates of all 4 atoms:
1 Li 0.496 0.496 0.581  -0.01
2 Mn 0.256 0.256 0.163  3.39
3 Rh 0.002 0.002 0.085  0.10
4 Rh 0.746 0.746 0.670  0.13

---

A plane-wave DFT calculation with PBE was carried out for an optimized crystal structure of LiMnRh2.

Calculated values
The calculation puts the formation energy at 0.026 eV/atom. For the calculated total energy, the calculation gives -0.2359 Ha/atom. Its symmetry is F-43m, No. 216. The calculation puts the volume at 56.2 Å³/f.u.

Cell lengths 4.298, 4.298, 4.298 Å; angles 60.00, 60.00, 60.00 degrees
Last column: magnetic moment on the atom in μB.
Fractional coordinates of all 4 atoms:
1 Li 0.500 0.500 0.500  0.01
2 Mn 0.750 0.750 0.750  3.83
3 Rh 0.000 0.000 0.000  -0.33
4 Rh 0.250 0.250 0.250  -0.56